Computed, not measured: Be2CrGa after structural relaxation at the PBE level of DFT.

```
data_Be2CrGa
_chemical_formula_sum 'Be2 Cr1 Ga1'
_space_group_name_H-M_alt 'P 1'
_space_group_IT_number 1
_cell_length_a 3.3540
_cell_length_b 3.5658
_cell_length_c 3.5658
_cell_angle_alpha 90.00
_cell_angle_beta 90.00
_cell_angle_gamma 90.00
loop_
_space_group_symop_operation_xyz
'x,y,z'
loop_
_atom_site_label
_atom_site_type_symbol
_atom_site_fract_x
_atom_site_fract_y
_atom_site_fract_z
Cr1 Cr 0.5000 0.0000 0.0000
Ga1 Ga 0.5000 0.5000 0.5000
Be1 Be 0.0000 0.0000 0.5000
Be2 Be 0.0000 0.5000 0.0000
```

* N(E_F): 0.53 states/eV/atom
* calculated density: 5.4 g cm⁻³
* space group: P4/mmm



Computed, not measured: Be4CrGa after structural relaxation at the PBE level of DFT.

```
data_Be4CrGa
_chemical_formula_sum 'Be4 Cr1 Ga1'
_space_group_name_H-M_alt 'P 1'
_space_group_IT_number 1
_cell_length_a 4.3738
_cell_length_b 4.3738
_cell_length_c 4.3738
_cell_angle_alpha 60.00
_cell_angle_beta 60.00
_cell_angle_gamma 60.00
loop_
_space_group_symop_operation_xyz
'x,y,z'
loop_
_atom_site_label
_atom_site_type_symbol
_atom_site_fract_x
_atom_site_fract_y
_atom_site_fract_z
Cr1 Cr 0.2500 0.2500 0.2500
Ga1 Ga 0.0000 0.0000 0.0000
Be1 Be 0.6231 0.6231 0.1307
Be2 Be 0.6231 0.1307 0.6231
Be3 Be 0.6231 0.6231 0.6231
Be4 Be 0.1307 0.6231 0.6231
```

* N(E_F): 0.20 states/eV/atom
* calculated density: 4.4 g cm⁻³
* space group: F-43m



Computed, not measured: BeCrGa2 after structural relaxation at the PBE level of DFT.

```
data_BeCrGa2
_chemical_formula_sum 'Be2 Cr2 Ga4'
_space_group_name_H-M_alt 'P 1'
_space_group_IT_number 1
_cell_length_a 6.5737
_cell_length_b 6.5737
_cell_length_c 5.2724
_cell_angle_alpha 51.44
_cell_angle_beta 51.44
_cell_angle_gamma 90.00
loop_
_space_group_symop_operation_xyz
'x,y,z'
loop_
_atom_site_label
_atom_site_type_symbol
_atom_site_fract_x
_atom_site_fract_y
_atom_site_fract_z
Cr1 Cr 0.0000 0.0000 0.0000
Cr2 Cr 0.7500 0.2500 0.5000
Ga1 Ga 0.5892 0.1250 0.2500
Ga2 Ga 0.1608 0.6250 0.2500
Ga3 Ga 0.3750 0.4108 0.7500
Ga4 Ga 0.8750 0.8392 0.7500
Be1 Be 0.5000 0.5000 0.0000
Be2 Be 0.2500 0.7500 0.5000
```

* N(E_F): 0.00 states/eV/atom
* calculated density: 6.2 g cm⁻³
* space group: I-42d



Computed, not measured: Be2CrGa after structural relaxation at the PBE level of DFT.

```
data_Be2CrGa
_chemical_formula_sum 'Be4 Cr2 Ga2'
_space_group_name_H-M_alt 'P 1'
_space_group_IT_number 1
_cell_length_a 6.2025
_cell_length_b 6.2025
_cell_length_c 5.0045
_cell_angle_alpha 51.71
_cell_angle_beta 51.71
_cell_angle_gamma 90.00
loop_
_space_group_symop_operation_xyz
'x,y,z'
loop_
_atom_site_label
_atom_site_type_symbol
_atom_site_fract_x
_atom_site_fract_y
_atom_site_fract_z
Cr1 Cr 0.5000 0.5000 0.0000
Cr2 Cr 0.2500 0.7500 0.5000
Ga1 Ga 0.0000 0.0000 0.0000
Ga2 Ga 0.7500 0.2500 0.5000
Be1 Be 0.6289 0.1250 0.2500
Be2 Be 0.1211 0.6250 0.2500
Be3 Be 0.3750 0.3711 0.7500
Be4 Be 0.8750 0.8789 0.7500
```

* N(E_F): 1.03 states/eV/atom
* calculated density: 5.0 g cm⁻³
* space group: I-42d



no.,E_form (eV per atom)
1,-0.020
2,0.003
3,0.448
4,0.497